Computed, not measured: a relaxed structure of BaBiW2O8 at the PBE with a Hubbard U level of DFT.

Properties
E_tot = -6.805 eV per atom

Lattice parameters (Å, degrees): 8.9509 8.9509 8.9509 35.60 35.60 35.60
Last column: nearest neighbours and their distance in Å.
Fractional positions:
Ba 0.0000 0.0000 0.0000  12 O 3.13-3.17
Bi 0.5000 0.5000 0.5000  6 O 2.51
W 0.2531 0.2531 0.2531  4 O 1.81-1.83
W 0.7469 0.7469 0.7469  4 O 1.81-1.83
O 0.0852 0.4440 0.7726  1 W 1.83
O 0.2274 0.5560 0.9148  1 W 1.83
O 0.3251 0.3251 0.3251  1 W 1.81
O 0.4440 0.7726 0.0852  1 W 1.83
O 0.5560 0.9148 0.2274  1 W 1.83
O 0.6749 0.6749 0.6749  1 W 1.81
O 0.7726 0.0852 0.4440  1 W 1.83
O 0.9148 0.2274 0.5560  1 W 1.83